Computed, not measured: LiGa4Ni after structural relaxation at the PBE level of DFT.

Properties
N(E_F) = 0.3650 states/eV per atom
calculated formation energy = -0.24 eV per atom
mass density = 6.13 g/cm³
magnetization = 0.00 μB per formula unit

Unit cell a=6.0556 b=6.0556 c=6.6534 alpha=117.07 beta=117.07 gamma=90.00
Sites, in units of the cell vectors:
1 Li 0.5000 0.5000 0.0000
2 Ga 0.2005 0.7005 0.7286
3 Ga 0.4719 0.9719 0.2714
4 Ni 0.7500 0.7500 0.5000
5 Ga 0.2995 0.4719 0.2714
6 Ga 0.7005 0.5281 0.7286
7 Ga 0.9719 0.7995 0.2714
8 Ni 0.2500 0.2500 0.5000
9 Ga 0.7995 0.2995 0.2714
10 Li 0.0000 0.0000 0.0000
11 Ga 0.0281 0.2005 0.7286
12 Ga 0.5281 0.0281 0.7286